No. 1
The following is a PBE-GGA calculation of an optimized crystal structure of FeBPt3, from Alexandria.

a = 3.871 Å, b = 3.941 Å, c = 9.398 Å
α = 77.88°, β = 99.03°, γ = 90.01°
Last column: magnetic moment on the atom in μB.
Fractional positions:
Fe (0.972, 0.618, 0.198)  3.14
Fe (0.895, 0.223, 0.987)  3.14
Pt (0.315, 0.334, 0.765)  0.15
Pt (0.390, 0.721, 0.993)  0.30
Pt (0.553, 0.507, 0.420)  0.15
Pt (0.813, 0.836, 0.763)  0.07
Pt (0.055, 0.006, 0.422)  0.07
Pt (0.477, 0.121, 0.192)  0.30
B (0.599, 0.953, 0.528)  -0.01
B (0.269, 0.889, 0.657)  -0.01

Summary:
* formation energy from the elements: -169 meV per atom
* symmetry: C2/m
* relative energy among the computed polymorphs: 0.00 eV per formula unit

No. 2
The following is a PBE-GGA calculation of an optimized crystal structure of FeB2Pt2Rh5, from Alexandria.

a = 2.790 Å, b = 9.629 Å, c = 9.629 Å
α = 90.00°, β = 90.00°, γ = 90.00°
Last column: magnetic moment on the atom in μB.
Fractional positions:
Rh (0.500, 0.222, 0.028)  0.21
Rh (0.500, 0.028, 0.778)  0.21
Rh (0.500, 0.972, 0.222)  0.21
Rh (0.500, 0.778, 0.972)  0.21
Rh (0.500, 0.722, 0.472)  0.21
Rh (0.500, 0.500, 0.000)  0.03
Rh (0.500, 0.278, 0.528)  0.21
Rh (0.500, 0.528, 0.722)  0.21
Rh (0.500, 0.472, 0.278)  0.21
Rh (0.500, 0.000, 0.500)  0.03
Pt (0.000, 0.213, 0.287)  0.04
Pt (0.000, 0.713, 0.213)  0.04
Pt (0.000, 0.787, 0.713)  0.04
Pt (0.000, 0.287, 0.787)  0.04
B (0.000, 0.371, 0.129)  0.00
B (0.000, 0.129, 0.629)  0.00
B (0.000, 0.629, 0.871)  0.00
B (0.000, 0.871, 0.371)  0.00
Fe (0.000, 0.000, 0.000)  3.07
Fe (0.000, 0.500, 0.500)  3.07

Summary:
* formation energy from the elements: -108 meV per atom
* symmetry: P4/mbm

No. 3
The following is a PBE-GGA calculation of an optimized crystal structure of Sm2FeB3Pt12, from Alexandria.

a = 7.437 Å, b = 7.437 Å, c = 7.437 Å
α = 64.04°, β = 64.04°, γ = 64.04°
Last column: magnetic moment on the atom in μB.
Fractional positions:
B (0.000, 0.000, 0.500)  -0.01
B (0.500, 0.000, 0.000)  -0.01
B (0.000, 0.500, 0.000)  -0.01
Pt (0.912, 0.327, 0.327)  0.01
Pt (0.880, 0.880, 0.380)  0.10
Pt (0.120, 0.620, 0.120)  0.10
Pt (0.120, 0.120, 0.620)  0.10
Pt (0.327, 0.327, 0.912)  0.01
Pt (0.880, 0.380, 0.880)  0.10
Pt (0.327, 0.912, 0.327)  0.01
Pt (0.088, 0.673, 0.673)  0.01
Pt (0.620, 0.120, 0.120)  0.10
Pt (0.380, 0.880, 0.880)  0.10
Pt (0.673, 0.673, 0.088)  0.01
Pt (0.673, 0.088, 0.673)  0.01
Sm (0.395, 0.395, 0.395)  -0.01
Sm (0.605, 0.605, 0.605)  -0.01
Fe (0.000, 0.000, 0.000)  3.07

Summary:
* formation energy from the elements: -387 meV per atom
* symmetry: R-3m

No. 4
The following is a PBE-GGA calculation of an optimized crystal structure of Tb3FeB2Pt9, from Alexandria.

a = 5.735 Å, b = 5.735 Å, c = 9.199 Å
α = 90.00°, β = 90.00°, γ = 120.00°
Last column: magnetic moment on the atom in μB.
Fractional positions:
Pt (0.500, 0.500, 0.000)  0.04
Pt (0.330, 0.165, 0.710)  0.09
Pt (0.835, 0.165, 0.710)  0.09
Pt (0.670, 0.835, 0.290)  0.09
Pt (0.000, 0.500, 0.000)  0.04
Pt (0.500, 0.000, 0.000)  0.04
Pt (0.165, 0.835, 0.290)  0.09
Pt (0.835, 0.670, 0.710)  0.09
Pt (0.165, 0.330, 0.290)  0.09
B (0.667, 0.333, 0.851)  0.01
B (0.333, 0.667, 0.149)  0.01
Tb (0.333, 0.667, 0.599)  -0.03
Tb (0.000, 0.000, 0.000)  0.00
Tb (0.667, 0.333, 0.401)  -0.03
Fe (0.000, 0.000, 0.500)  3.03

Summary:
* formation energy from the elements: -778 meV per atom
* symmetry: P-3m1

No. 5
The following is a PBE-GGA calculation of an optimized crystal structure of FeTcB2Pt, from Alexandria.

a = 3.963 Å, b = 4.688 Å, c = 3.963 Å
α = 90.00°, β = 90.00°, γ = 90.00°
Last column: magnetic moment on the atom in μB.
Fractional positions:
Pt (0.500, 0.500, 0.500)  0.07
B (0.000, 0.000, 0.500)  0.00
B (0.500, 0.000, 0.000)  0.03
Fe (0.000, 0.500, 0.000)  2.85
Tc (0.000, 0.000, 0.000)  -0.03

Summary:
* formation energy from the elements: 1304 meV per atom
* symmetry: P4/mmm

No. 6
The following is a PBE-GGA calculation of an optimized crystal structure of Pu2FeB10, from Alexandria.

a = 4.140 Å, b = 5.566 Å, c = 11.094 Å
α = 90.00°, β = 90.00°, γ = 90.00°
Last column: magnetic moment on the atom in μB.
Fractional positions:
B (0.700, 0.702, 0.388)  -0.03
B (0.300, 0.702, 0.388)  -0.03
B (0.000, 0.129, 0.539)  -0.03
B (0.000, 0.532, 0.314)  -0.04
B (0.000, 0.154, 0.697)  -0.03
B (0.700, 0.798, 0.888)  -0.03
B (0.000, 0.346, 0.197)  -0.03
B (0.000, 0.371, 0.039)  -0.03
B (0.000, 0.871, 0.461)  -0.03
B (0.000, 0.846, 0.303)  -0.03
B (0.300, 0.298, 0.612)  -0.03
B (0.700, 0.202, 0.112)  -0.03
B (0.000, 0.654, 0.803)  -0.03
B (0.000, 0.032, 0.186)  -0.04
B (0.300, 0.798, 0.888)  -0.03
B (0.000, 0.468, 0.686)  -0.04
B (0.300, 0.202, 0.112)  -0.03
B (0.700, 0.298, 0.612)  -0.03
B (0.000, 0.629, 0.961)  -0.03
B (0.000, 0.968, 0.814)  -0.04
Pu (0.500, 0.800, 0.634)  4.95
Pu (0.500, 0.300, 0.866)  4.95
Pu (0.500, 0.200, 0.366)  4.95
Pu (0.500, 0.700, 0.134)  4.95
Fe (0.000, 0.500, 0.500)  -0.27
Fe (0.000, 0.000, 0.000)  -0.27

Summary:
* formation energy from the elements: -426 meV per atom
* symmetry: Pbam

No. 7
The following is a PBE-GGA calculation of an optimized crystal structure of PuFe12B6, from Alexandria.

a = 6.028 Å, b = 6.028 Å, c = 6.028 Å
α = 104.35°, β = 104.35°, γ = 104.35°
Last column: magnetic moment on the atom in μB.
Fractional positions:
Fe (0.500, 0.871, 0.129)  1.01
Fe (0.454, 0.186, 0.454)  2.00
Fe (0.129, 0.871, 0.500)  1.01
Fe (0.129, 0.500, 0.871)  1.01
Fe (0.454, 0.454, 0.186)  2.00
Fe (0.546, 0.546, 0.814)  2.00
Fe (0.186, 0.454, 0.454)  2.00
Fe (0.871, 0.500, 0.129)  1.01
Fe (0.546, 0.814, 0.546)  2.00
Fe (0.814, 0.546, 0.546)  2.00
Fe (0.871, 0.129, 0.500)  1.01
Fe (0.500, 0.129, 0.871)  1.01
B (0.232, 0.694, 0.232)  -0.11
B (0.232, 0.232, 0.694)  -0.11
B (0.694, 0.232, 0.232)  -0.11
B (0.768, 0.768, 0.306)  -0.11
B (0.306, 0.768, 0.768)  -0.11
B (0.768, 0.306, 0.768)  -0.11
Pu (0.000, 0.000, 0.000)  4.81

Summary:
* formation energy from the elements: -215 meV per atom
* symmetry: R-3m

No. 8
The following is a PBE-GGA calculation of an optimized crystal structure of Pu2Fe3B2, from Alexandria.

a = 3.158 Å, b = 5.025 Å, c = 6.307 Å
α = 116.82°, β = 90.00°, γ = 108.31°
Last column: magnetic moment on the atom in μB.
Fractional positions:
Pu (0.831, 0.661, 0.153)  -0.01
Pu (0.169, 0.339, 0.847)  -0.01
B (0.860, 0.721, 0.753)  -0.08
B (0.140, 0.279, 0.247)  -0.08
Fe (0.500, 0.000, 0.000)  1.16
Fe (0.372, 0.743, 0.550)  1.47
Fe (0.628, 0.257, 0.450)  1.47

Summary:
* formation energy from the elements: -38 meV per atom
* symmetry: C2/m

No. 9
The following is a PBE-GGA calculation of an optimized crystal structure of PuFeB4, from Alexandria.

a = 3.357 Å, b = 5.908 Å, c = 11.447 Å
α = 90.00°, β = 90.00°, γ = 90.00°
Last column: magnetic moment on the atom in μB.
Fractional positions:
B (0.500, 0.220, 0.816)  -0.03
B (0.500, 0.975, 0.310)  -0.04
B (0.500, 0.525, 0.810)  -0.04
B (0.500, 0.112, 0.546)  -0.02
B (0.500, 0.638, 0.533)  -0.04
B (0.500, 0.362, 0.467)  -0.04
B (0.500, 0.475, 0.190)  -0.04
B (0.500, 0.888, 0.454)  -0.02
B (0.500, 0.780, 0.184)  -0.03
B (0.500, 0.720, 0.684)  -0.03
B (0.500, 0.862, 0.033)  -0.04
B (0.500, 0.025, 0.690)  -0.04
B (0.500, 0.612, 0.954)  -0.02
B (0.500, 0.280, 0.316)  -0.03
B (0.500, 0.138, 0.967)  -0.04
B (0.500, 0.388, 0.046)  -0.02
Fe (0.000, 0.869, 0.588)  -0.36
Fe (0.000, 0.131, 0.412)  -0.36
Fe (0.000, 0.631, 0.088)  -0.36
Fe (0.000, 0.369, 0.912)  -0.36
Pu (0.000, 0.374, 0.650)  4.56
Pu (0.000, 0.874, 0.850)  4.56
Pu (0.000, 0.126, 0.150)  4.56
Pu (0.000, 0.626, 0.350)  4.56

Summary:
* formation energy from the elements: -521 meV per atom
* symmetry: Pbam

No. 10
The following is a PBE-GGA calculation of an optimized crystal structure of Pu2FeB2Ru5, from Alexandria.

a = 3.070 Å, b = 9.588 Å, c = 9.588 Å
α = 90.00°, β = 90.00°, γ = 90.00°
Last column: magnetic moment on the atom in μB.
Fractional positions:
Ru (0.500, 0.570, 0.716)  -0.14
Ru (0.500, 0.930, 0.216)  -0.14
Ru (0.500, 0.284, 0.570)  -0.14
Ru (0.500, 0.430, 0.284)  -0.14
Ru (0.500, 0.716, 0.430)  -0.14
Ru (0.500, 0.000, 0.500)  -0.25
Ru (0.500, 0.784, 0.930)  -0.14
Ru (0.500, 0.070, 0.784)  -0.14
Ru (0.500, 0.500, 0.000)  -0.25
Ru (0.500, 0.216, 0.070)  -0.14
B (0.000, 0.623, 0.877)  -0.01
B (0.000, 0.377, 0.123)  -0.01
B (0.000, 0.123, 0.623)  -0.01
B (0.000, 0.877, 0.377)  -0.01
Fe (0.000, 0.500, 0.500)  2.93
Fe (0.000, 0.000, 0.000)  2.93
Pu (0.000, 0.323, 0.823)  4.47
Pu (0.000, 0.823, 0.677)  4.47
Pu (0.000, 0.177, 0.323)  4.47
Pu (0.000, 0.677, 0.177)  4.47

Summary:
* formation energy from the elements: -240 meV per atom
* symmetry: P4/mbm

No. 11
The following is a PBE-GGA calculation of an optimized crystal structure of Pu2Fe3TcB12, from Alexandria.

a = 8.281 Å, b = 8.281 Å, c = 8.281 Å
α = 37.88°, β = 37.88°, γ = 37.88°
Last column: magnetic moment on the atom in μB.
Fractional positions:
B (0.047, 0.047, 0.674)  -0.02
B (0.953, 0.953, 0.326)  -0.02
B (0.326, 0.953, 0.953)  -0.02
B (0.344, 0.344, 0.022)  -0.03
B (0.047, 0.674, 0.047)  -0.02
B (0.656, 0.978, 0.656)  -0.03
B (0.674, 0.047, 0.047)  -0.02
B (0.953, 0.326, 0.953)  -0.02
B (0.978, 0.656, 0.656)  -0.03
B (0.022, 0.344, 0.344)  -0.03
B (0.344, 0.022, 0.344)  -0.03
B (0.656, 0.656, 0.978)  -0.03
Fe (0.500, 0.000, 0.000)  1.61
Fe (0.000, 0.500, 0.000)  1.61
Fe (0.000, 0.000, 0.500)  1.61
Tc (0.000, 0.000, 0.000)  -0.38
Pu (0.362, 0.362, 0.362)  4.87
Pu (0.638, 0.638, 0.638)  4.87

Summary:
* formation energy from the elements: 116 meV per atom
* symmetry: R-3m

No. 12
The following is a PBE-GGA calculation of an optimized crystal structure of RbFe2B, from Alexandria.

a = 6.246 Å, b = 6.246 Å, c = 6.255 Å
α = 60.05°, β = 60.05°, γ = 90.00°
Last column: magnetic moment on the atom in μB.
Fractional positions:
B (0.250, 0.750, 0.500)  -0.21
B (0.500, 0.500, 0.000)  -0.21
Fe (0.875, 0.625, 0.750)  2.53
Fe (0.375, 0.625, 0.250)  2.51
Fe (0.375, 0.125, 0.250)  2.50
Fe (0.375, 0.625, 0.750)  2.49
Rb (0.750, 0.250, 0.500)  -0.01
Rb (0.000, 0.000, 0.000)  -0.01

Summary:
* formation energy from the elements: 901 meV per atom
* symmetry: I4_1/amd

No. 13
The following is a PBE-GGA calculation of an optimized crystal structure of RbFeB2, from Alexandria.

a = 6.040 Å, b = 6.040 Å, c = 6.050 Å
α = 60.05°, β = 60.05°, γ = 90.00°
Fractional positions:
Rb (0.000, 0.000, 0.000)
Rb (0.750, 0.250, 0.500)
B (0.375, 0.625, 0.250)
B (0.375, 0.625, 0.750)
B (0.375, 0.125, 0.250)
B (0.875, 0.625, 0.750)
Fe (0.500, 0.500, 0.000)
Fe (0.250, 0.750, 0.500)

Summary:
* formation energy from the elements: 601 meV per atom
* symmetry: I4_1/amd
* relative energy among the computed polymorphs: 0.00 eV per formula unit

No. 14
The following is a PBE-GGA calculation of an optimized crystal structure of Rb2FeB, from Alexandria.

a = 12.896 Å, b = 12.896 Å, c = 9.329 Å
α = 46.28°, β = 46.28°, γ = 90.00°
Last column: magnetic moment on the atom in μB.
Fractional positions:
Fe (0.750, 0.250, 0.500)  2.37
Fe (0.000, 0.000, 0.000)  2.37
Rb (0.875, 0.626, 0.750)  -0.01
Rb (0.374, 0.625, 0.250)  -0.01
Rb (0.376, 0.125, 0.250)  -0.01
Rb (0.375, 0.624, 0.750)  -0.01
B (0.500, 0.500, 0.000)  -0.21
B (0.250, 0.750, 0.500)  -0.21

Summary:
* formation energy from the elements: 844 meV per atom
* symmetry: I-42d

No. 15
The following is a PBE-GGA calculation of an optimized crystal structure of Rb3FeB, from Alexandria.

a = 6.437 Å, b = 6.437 Å, c = 6.437 Å
α = 90.00°, β = 90.00°, γ = 90.00°
Last column: magnetic moment on the atom in μB.
Fractional positions:
B (0.500, 0.500, 0.500)  0.54
Rb (0.000, 0.000, 0.500)  0.01
Rb (0.000, 0.500, 0.000)  0.02
Rb (0.500, 0.000, 0.000)  0.02
Fe (0.000, 0.000, 0.000)  2.72

Summary:
* formation energy from the elements: 1702 meV per atom
* symmetry: Pm-3m

No. 16
The following is a PBE-GGA calculation of an optimized crystal structure of RbFeB2, from Alexandria.

a = 4.390 Å, b = 4.390 Å, c = 4.390 Å
α = 60.00°, β = 60.00°, γ = 60.00°
Last column: magnetic moment on the atom in μB.
Fractional positions:
Fe (0.000, 0.000, 0.000)  0.08
B (0.750, 0.750, 0.750)  0.03
B (0.250, 0.250, 0.250)  0.03
Rb (0.500, 0.500, 0.500)  0.01

Summary:
* formation energy from the elements: 2472 meV per atom
* symmetry: Fm-3m
* relative energy among the computed polymorphs: 7.48 eV per formula unit

No. 17
The following is a PBE-GGA calculation of an optimized crystal structure of RbFeSi2B, from Alexandria.

a = 4.361 Å, b = 6.049 Å, c = 4.361 Å
α = 90.00°, β = 90.00°, γ = 90.00°
Last column: magnetic moment on the atom in μB.
Fractional positions:
Si (0.500, 0.000, 0.000)  -0.05
Si (0.000, 0.000, 0.500)  -0.05
Fe (0.000, 0.000, 0.000)  1.05
Rb (0.000, 0.500, 0.000)  0.02
B (0.500, 0.500, 0.500)  0.26

Summary:
* symmetry: P4/mmm
* ΔE_f (raw): 1255.3 meV per atom

No. 18
The following is a PBE-GGA calculation of an optimized crystal structure of FeReB3, from Alexandria.

a = 4.067 Å, b = 4.067 Å, c = 4.067 Å
α = 90.00°, β = 90.00°, γ = 90.00°
Last column: magnetic moment on the atom in μB.
Fractional positions:
Re (0.000, 0.000, 0.000)  0.14
B (0.000, 0.000, 0.500)  -0.01
B (0.000, 0.500, 0.000)  0.02
B (0.500, 0.000, 0.000)  0.00
Fe (0.500, 0.500, 0.500)  3.16

Summary:
* formation energy from the elements: 1230 meV per atom
* symmetry: Pm-3m
* relative energy among the computed polymorphs: 0.32 eV per formula unit

No. 19
The following is a PBE-GGA calculation of an optimized crystal structure of FeRe2B, from Alexandria.

a = 2.774 Å, b = 2.774 Å, c = 8.153 Å
α = 80.21°, β = 80.21°, γ = 60.00°
Last column: magnetic moment on the atom in μB.
Fractional positions:
Re (0.104, 0.104, 0.688)  0.03
Re (0.896, 0.896, 0.312)  0.03
Fe (0.000, 0.000, 0.000)  -2.65
B (0.500, 0.500, 0.500)  -0.01

Summary:
* formation energy from the elements: 565 meV per atom
* symmetry: R-3m

No. 20
The following is a PBE-GGA calculation of an optimized crystal structure of FeReB3, from Alexandria.

a = 3.665 Å, b = 3.665 Å, c = 3.665 Å
α = 90.00°, β = 90.00°, γ = 90.00°
Fractional positions:
B (0.000, 0.500, 0.000)
B (0.500, 0.000, 0.000)
B (0.000, 0.000, 0.500)
Fe (0.000, 0.000, 0.000)
Re (0.500, 0.500, 0.500)

Summary:
* formation energy from the elements: 1165 meV per atom
* symmetry: Pm-3m
* relative energy among the computed polymorphs: 0.00 eV per formula unit

No. 21
The following is a PBE-GGA calculation of an optimized crystal structure of FeRe6B, from Alexandria.

a = 5.325 Å, b = 5.314 Å, c = 5.314 Å
α = 122.63°, β = 101.63°, γ = 101.63°
Last column: magnetic moment on the atom in μB.
Fractional positions:
Re (0.762, 0.553, 0.957)  -0.02
Re (0.238, 0.447, 0.043)  -0.02
Re (0.762, 0.957, 0.553)  -0.02
Re (0.238, 0.043, 0.447)  -0.02
Re (0.800, 0.264, 0.264)  0.01
Re (0.200, 0.736, 0.736)  0.01
B (0.000, 0.000, 0.000)  0.03
Fe (0.500, 0.500, 0.500)  1.97

Summary:
* formation energy from the elements: 527 meV per atom
* symmetry: C2/m

| no. | total moment (Bohr magnetons per cell) |
| --- | --- |
| 1 | 7.3 |
| 2 | 8.1 |
| 3 | 3.7 |
| 4 | 3.7 |
| 5 | 3.0 |
| 6 | 19.3 |
| 7 | 22.2 |
| 8 | 3.8 |
| 9 | 17.0 |
| 10 | 22.2 |
| 11 | 14.1 |
| 12 | 9.7 |
| 13 | 0.0 |
| 14 | 3.9 |
| 15 | 5.1 |
| 16 | 0.2 |
| 17 | 1.5 |
| 18 | 3.3 |
| 19 | 2.6 |
| 20 | 0.0 |
| 21 | 2.0 |